# 1
## Dy5SbSe4 (PBE)

Data for crystalline Dy5SbSe4 at its relaxed geometry.

Summary:
Space group: Immm (71)
Volume: 251 Å³/f.u.
Formation energy from raw total energies: -1621 meV per atom

Unit cell a=4.157 b=5.855 c=10.930 alpha=105.54 beta=100.96 gamma=90.00
Sites, in units of the cell vectors:
Dy (0.199, 0.699, 0.398)
Se (0.797, 0.797, 0.593)
Se (0.203, 0.203, 0.407)
Dy (0.000, 0.500, 0.000)
Se (0.601, 0.601, 0.202)
Sb (0.000, 0.000, 0.000)
Dy (0.801, 0.301, 0.602)
Dy (0.394, 0.894, 0.788)
Se (0.399, 0.399, 0.798)
Dy (0.606, 0.106, 0.212)

# 2
## La3Ga5Se12 (PBE)

Data for crystalline La3Ga5Se12 at its relaxed geometry.

Summary:
Space group: Ia-3d (230)
Volume: 530 Å³/f.u.
Formation energy from raw total energies: -1085 meV per atom

Unit cell a=14.014 b=14.014 c=14.014 alpha=109.47 beta=109.47 gamma=109.47
Sites, in units of the cell vectors:
Se (0.414, 0.120, 0.591)
Se (0.823, 0.909, 0.029)
Ga (0.250, 0.875, 0.125)
Ga (0.125, 0.750, 0.375)
Se (0.794, 0.471, 0.380)
Se (0.794, 0.323, 0.914)
La (0.250, 0.625, 0.875)
La (0.375, 0.750, 0.625)
Se (0.971, 0.380, 0.294)
Se (0.029, 0.620, 0.706)
Se (0.086, 0.909, 0.380)
Ga (0.500, 0.500, 0.500)
Ga (0.875, 0.625, 0.750)
Se (0.091, 0.177, 0.471)
Se (0.120, 0.414, 0.091)
Se (0.380, 0.971, 0.794)
Se (0.294, 0.880, 0.971)
Se (0.086, 0.177, 0.206)
Se (0.909, 0.086, 0.880)
Se (0.206, 0.677, 0.086)
Se (0.471, 0.677, 0.091)
Se (0.971, 0.591, 0.177)
Se (0.591, 0.620, 0.414)
Se (0.529, 0.323, 0.909)
Se (0.914, 0.091, 0.620)
Ga (0.375, 0.125, 0.750)
Ga (0.750, 0.125, 0.875)
Se (0.177, 0.086, 0.706)
La (0.625, 0.250, 0.375)
Se (0.706, 0.586, 0.177)
Se (0.029, 0.409, 0.823)
Se (0.914, 0.823, 0.794)
Ga (0.875, 0.250, 0.625)
Ga (0.000, 0.000, 0.000)
Se (0.591, 0.971, 0.677)
Ga (0.625, 0.875, 0.250)
Se (0.471, 0.794, 0.880)
Ga (0.500, 0.000, 0.000)
Se (0.414, 0.294, 0.323)
Ga (0.000, 0.000, 0.500)
Se (0.823, 0.914, 0.294)
Ga (0.500, 0.500, 0.000)
Ga (0.000, 0.500, 0.500)
La (0.750, 0.375, 0.125)
Ga (0.500, 0.000, 0.500)
Se (0.120, 0.706, 0.529)
La (0.250, 0.125, 0.375)
Ga (0.125, 0.375, 0.250)
Se (0.880, 0.294, 0.471)
Se (0.706, 0.120, 0.029)
Se (0.677, 0.206, 0.586)
La (0.125, 0.250, 0.875)
Ga (0.750, 0.625, 0.375)
Se (0.586, 0.706, 0.677)
Se (0.586, 0.880, 0.409)
La (0.375, 0.625, 0.250)
Ga (0.000, 0.500, 0.000)
La (0.125, 0.875, 0.750)
Se (0.620, 0.029, 0.206)
Se (0.294, 0.414, 0.823)
Se (0.409, 0.029, 0.323)
Se (0.620, 0.591, 0.914)
Se (0.380, 0.409, 0.086)
Se (0.091, 0.914, 0.120)
Se (0.323, 0.529, 0.409)
La (0.875, 0.125, 0.250)
Se (0.677, 0.471, 0.591)
Se (0.177, 0.091, 0.971)
Se (0.529, 0.206, 0.120)
Se (0.880, 0.586, 0.909)
Se (0.409, 0.380, 0.586)
La (0.750, 0.875, 0.625)
Se (0.206, 0.529, 0.620)
Ga (0.625, 0.750, 0.875)
Ga (0.250, 0.375, 0.625)
La (0.875, 0.750, 0.125)
La (0.625, 0.375, 0.750)
Ga (0.375, 0.250, 0.125)
Se (0.323, 0.794, 0.414)
Se (0.909, 0.823, 0.529)

# 3
## TlFeCuRu2 (PBE)

Data for crystalline TlFeCuRu2 at its relaxed geometry.

Summary:
Space group: P4/mmm (123)
ΔH_f (0 K): 5.36 eV per formula unit
Volume: 88 Å³/f.u.

Unit cell a=4.407 b=4.407 c=4.530 alpha=90.00 beta=90.00 gamma=90.00
Sites, in units of the cell vectors:
Fe (0.000, 0.000, 0.000)
Tl (0.500, 0.500, 0.500)
Ru (0.000, 0.500, 0.000)
Ru (0.500, 0.000, 0.000)
Cu (0.000, 0.000, 0.500)

# 4
## Li3In (PBE)

Data for crystalline Li3In at its relaxed geometry.

Summary:
Space group: Fm-3m (225)
ΔH_f (0 K): -0.94 eV per formula unit
ΔE to the lowest computed polymorph: 1 meV/atom
Volume: 73 Å³/f.u.

Unit cell a=4.697 b=4.697 c=4.697 alpha=60.00 beta=60.00 gamma=60.00
Sites, in units of the cell vectors:
Li (0.250, 0.250, 0.250)
In (0.000, 0.000, 0.000)
Li (0.750, 0.750, 0.750)
Li (0.500, 0.500, 0.500)

# 5
## Sm7Ho12Sc (PBE)

Data for crystalline Sm7Ho12Sc at its relaxed geometry.

Summary:
Space group: Im-3m (229)
ΔH_f (0 K): 14.04 eV per formula unit
ΔE to the lowest computed polymorph: 462 meV/atom
Volume: 708 Å³/f.u.

Unit cell a=9.724 b=9.724 c=9.724 alpha=109.47 beta=109.47 gamma=109.47
Sites, in units of the cell vectors:
Ho (0.758, 0.515, 0.758)
Ho (0.242, 0.000, 0.758)
Sm (0.000, 0.000, 0.500)
Ho (0.758, 0.242, 0.000)
Sm (0.000, 0.500, 0.000)
Ho (0.515, 0.758, 0.758)
Sm (0.500, 0.500, 0.500)
Sm (0.500, 0.000, 0.500)
Ho (0.758, 0.000, 0.242)
Sm (0.500, 0.500, 0.000)
Ho (0.242, 0.485, 0.242)
Ho (0.242, 0.242, 0.485)
Ho (0.000, 0.758, 0.242)
Sm (0.500, 0.000, 0.000)
Ho (0.758, 0.758, 0.515)
Ho (0.000, 0.242, 0.758)
Sc (0.000, 0.000, 0.000)
Ho (0.485, 0.242, 0.242)
Ho (0.242, 0.758, 0.000)
Sm (0.000, 0.500, 0.500)

# 6
## Hf2Ti3Tl (PBE)

Data for crystalline Hf2Ti3Tl at its relaxed geometry.

Summary:
Space group: Fmmm (69)
ΔH_f (0 K): 0.26 eV per formula unit
ΔE to the lowest computed polymorph: 0 meV/atom
Volume: 119 Å³/f.u.

Unit cell a=5.652 b=5.652 c=9.570 alpha=115.01 beta=115.01 gamma=64.43
Sites, in units of the cell vectors:
Ti (0.158, 0.158, 0.316)
Ti (0.168, 0.168, 0.838)
Tl (0.671, 0.671, 0.341)
Ti (0.331, 0.331, 0.162)
Ti (0.842, 0.842, 0.684)
Ti (0.832, 0.832, 0.162)
Hf (0.750, 0.250, 0.500)
Tl (0.329, 0.329, 0.659)
Hf (0.758, 0.242, 0.000)
Hf (0.250, 0.750, 0.500)
Ti (0.669, 0.669, 0.838)
Hf (0.242, 0.758, 0.000)

# 7
## KTiTe2 (PBE)

Data for crystalline KTiTe2 at its relaxed geometry.

Summary:
Space group: I-42d (122)
Volume: 160 Å³/f.u.
Formation energy from raw total energies: -690 meV per atom

Unit cell a=7.914 b=7.914 c=7.573 alpha=58.50 beta=58.50 gamma=90.00
Last column: magnetic moment on the atom in μB.
Sites, in units of the cell vectors:
Te (0.038, 0.625, 0.250)  -0.06
Te (0.875, 0.962, 0.750)  -0.06
Ti (0.000, 0.000, 0.000)  0.98
K (0.500, 0.500, 0.000)  0.00
K (0.250, 0.750, 0.500)  0.00
Te (0.712, 0.125, 0.250)  -0.06
Ti (0.750, 0.250, 0.500)  0.98
Te (0.375, 0.288, 0.750)  -0.06

# 8
## Ac5Sm3Se12 (PBE)

Data for crystalline Ac5Sm3Se12 at its relaxed geometry.

Summary:
Space group: Ia-3d (230)
Volume: 700 Å³/f.u.
Formation energy from raw total energies: -1643 meV per atom

Unit cell a=15.380 b=15.380 c=15.380 alpha=109.47 beta=109.47 gamma=109.47
Sites, in units of the cell vectors:
Se (0.267, 0.400, 0.827)
Se (0.073, 0.173, 0.440)
Sm (0.625, 0.250, 0.375)
Se (0.367, 0.940, 0.767)
Sm (0.125, 0.250, 0.875)
Se (0.560, 0.327, 0.927)
Se (0.927, 0.827, 0.560)
Se (0.440, 0.673, 0.073)
Se (0.733, 0.133, 0.060)
Ac (0.125, 0.375, 0.250)
Se (0.327, 0.560, 0.427)
Se (0.600, 0.733, 0.673)
Ac (0.750, 0.125, 0.875)
Se (0.133, 0.400, 0.073)
Se (0.767, 0.440, 0.367)
Se (0.073, 0.900, 0.133)
Se (0.940, 0.573, 0.173)
Se (0.600, 0.867, 0.427)
Se (0.133, 0.733, 0.560)
Ac (0.000, 0.000, 0.000)
Se (0.560, 0.233, 0.133)
Ac (0.375, 0.250, 0.125)
Ac (0.500, 0.500, 0.000)
Ac (0.375, 0.125, 0.750)
Se (0.233, 0.560, 0.633)
Ac (0.750, 0.625, 0.375)
Ac (0.250, 0.875, 0.125)
Se (0.100, 0.927, 0.367)
Se (0.900, 0.073, 0.633)
Sm (0.375, 0.750, 0.625)
Se (0.927, 0.100, 0.867)
Se (0.673, 0.440, 0.573)
Se (0.060, 0.427, 0.827)
Ac (0.250, 0.375, 0.625)
Se (0.633, 0.573, 0.900)
Se (0.767, 0.327, 0.900)
Se (0.940, 0.367, 0.267)
Se (0.673, 0.233, 0.600)
Se (0.100, 0.173, 0.233)
Se (0.573, 0.633, 0.400)
Ac (0.500, 0.000, 0.000)
Ac (0.875, 0.625, 0.750)
Sm (0.750, 0.375, 0.125)
Se (0.427, 0.060, 0.327)
Se (0.440, 0.767, 0.867)
Ac (0.625, 0.875, 0.250)
Se (0.367, 0.427, 0.100)
Sm (0.250, 0.625, 0.875)
Ac (0.500, 0.500, 0.500)
Sm (0.625, 0.375, 0.750)
Se (0.173, 0.100, 0.733)
Ac (0.000, 0.000, 0.500)
Se (0.267, 0.867, 0.940)
Se (0.827, 0.927, 0.060)
Se (0.733, 0.600, 0.173)
Ac (0.500, 0.000, 0.500)
Se (0.173, 0.073, 0.940)
Sm (0.875, 0.125, 0.250)
Se (0.633, 0.060, 0.233)
Se (0.827, 0.900, 0.267)
Se (0.400, 0.267, 0.327)
Se (0.233, 0.673, 0.100)
Se (0.867, 0.267, 0.440)
Sm (0.750, 0.875, 0.625)
Ac (0.000, 0.500, 0.500)
Sm (0.250, 0.125, 0.375)
Sm (0.875, 0.750, 0.125)
Se (0.573, 0.940, 0.673)
Ac (0.125, 0.750, 0.375)
Sm (0.375, 0.625, 0.250)
Se (0.327, 0.767, 0.400)
Sm (0.125, 0.875, 0.750)
Se (0.427, 0.367, 0.600)
Ac (0.000, 0.500, 0.000)
Se (0.900, 0.827, 0.767)
Se (0.400, 0.133, 0.573)
Se (0.060, 0.633, 0.733)
Ac (0.875, 0.250, 0.625)
Se (0.867, 0.600, 0.927)
Ac (0.625, 0.750, 0.875)

Number 1: E -0.4210 Ry/atom. Number 2: E -0.3433 Ry/atom. Number 3: E -0.4134 Ry/atom. Number 4: E -0.1731 Ry/atom. Number 5: E -0.2949 Ry/atom. Number 6: E -0.5598 Ry/atom. Number 7: E -0.3314 Ry/atom. Number 8: E -0.4019 Ry/atom.